Crystalline AcPuSb2 at its relaxed geometry, computed with PBE-GGA.

Cell: 7.917 7.917 7.917 Å, 90.00 90.00 90.00°
Sites, in units of the cell vectors:
Ac1 0.000 0.000 0.000
Ac2 0.000 0.500 0.500
Ac3 0.500 0.000 0.500
Ac4 0.500 0.500 0.000
Pu1 0.000 0.000 0.500
Pu2 0.000 0.500 0.000
Pu3 0.500 0.000 0.000
Pu4 0.500 0.500 0.500
Sb1 0.250 0.250 0.250
Sb2 0.250 0.250 0.750
Sb3 0.250 0.750 0.250
Sb4 0.250 0.750 0.750
Sb5 0.750 0.250 0.250
Sb6 0.750 0.250 0.750
Sb7 0.750 0.750 0.250
Sb8 0.750 0.750 0.750

## Properties
- Excess energy over the best structure of this formula in the dataset: 188.1 meV/atom
- DOS at the Fermi energy: 61.1 states/eV per cell
- ΔE_f (raw): -0.691 eV per atom
- Theoretical density: 9.6 g/cm3